Below is a relaxed structure of Cs2VTcCl6, with properties calculated at the PBE-GGA level.

The structure in extended XYZ format:
```
10
Lattice="0.0000 5.1897 5.1897 5.1897 0.0000 5.1897 5.1897 5.1897 0.0000" Properties=species:S:1:pos:R:3 pbc="T T T"
Cs 2.5949 2.5949 2.5949
Cs 7.7846 7.7846 7.7846
V 0.0000 0.0000 0.0000
Tc 5.1897 5.1897 5.1897
Cl 5.1897 5.1897 2.5372
Cl 5.1897 2.5372 5.1897
Cl 7.8423 5.1897 5.1897
Cl 2.5372 5.1897 5.1897
Cl 5.1897 7.8423 5.1897
Cl 5.1897 5.1897 7.8423
```

Output
The theoretical density comes out at 3.73 Mg/m³. The total magnetization comes out at 8.00 μB/cell. The value obtained for the total energy is -4.3915 eV/atom.



Below is a relaxed structure of Cs2TcWCl6, with properties calculated at the PBE-GGA level.

The structure in extended XYZ format:
```
10
Lattice="0.0000 5.1804 5.1804 5.1804 0.0000 5.1804 5.1804 5.1804 0.0000" Properties=species:S:1:pos:R:3 pbc="T T T"
Cs 2.5902 2.5902 2.5902
Cs 7.7706 7.7706 7.7706
Tc 0.0000 0.0000 0.0000
W 5.1804 5.1804 5.1804
Cl 5.1804 5.1804 2.6870
Cl 5.1804 2.6870 5.1804
Cl 7.6738 5.1804 5.1804
Cl 2.6870 5.1804 5.1804
Cl 5.1804 7.6738 5.1804
Cl 5.1804 5.1804 7.6738
```

Output
The theoretical density comes out at 4.54 Mg/m³. The total magnetization comes out at 7.00 μB/cell. The value obtained for the total energy is -4.4256 eV/atom.



Below is a relaxed structure of Cs2TeCl, with properties calculated at the PBE-GGA level.

The structure in extended XYZ format:
```
4
Lattice="4.1084 0.0000 0.0000 0.0000 4.1084 0.0000 0.0000 0.0000 9.6732" Properties=species:S:1:pos:R:3 pbc="T T T"
Cs 0.0000 0.0000 2.1033
Cs 0.0000 0.0000 7.5699
Te 2.0542 2.0542 4.8366
Cl 2.0542 2.0542 0.0000
```

Output
The theoretical density comes out at 4.36 Mg/m³. The distance to the lowest polymorph of the same formula is 79 meV/atom. The total magnetization comes out at 0.00 μB/cell. The value obtained for the total energy is -2.9480 eV/atom.



Below is a relaxed structure of Cs2TeCl4, with properties calculated at the PBE-GGA level.

The structure in extended XYZ format:
```
14
Lattice="5.4414 0.0000 0.0000 0.0000 5.4414 0.0000 0.0000 0.0000 18.5157" Properties=species:S:1:pos:R:3 pbc="T T T"
Cs 0.0000 0.0000 2.7265
Cs 0.0000 0.0000 15.7891
Cs 2.7207 2.7207 6.5313
Cs 2.7207 2.7207 11.9844
Te 0.0000 0.0000 9.2578
Te 2.7207 2.7207 0.0000
Cl 0.0000 0.0000 6.1622
Cl 0.0000 0.0000 12.3534
Cl 0.0000 2.7207 0.0000
Cl 0.0000 2.7207 9.2578
Cl 2.7207 0.0000 0.0000
Cl 2.7207 0.0000 9.2578
Cl 2.7207 2.7207 3.0956
Cl 2.7207 2.7207 15.4201
```

Output
The theoretical density comes out at 3.24 Mg/m³. The distance to the lowest polymorph of the same formula is 183 meV/atom. The total magnetization comes out at 2.68 μB/cell. The value obtained for the total energy is -2.9462 eV/atom.



Below is a relaxed structure of CsTeCl, with properties calculated at the PBE-GGA level.

The structure in extended XYZ format:
```
12
Lattice="11.9231 0.0000 0.0000 0.0000 4.6712 0.0000 -0.0154 0.0000 10.7172" Properties=species:S:1:pos:R:3 pbc="T T T"
Cs 1.2868 0.0000 3.9084
Cs 4.6593 2.3356 6.8088
Cs 7.2484 2.3356 3.9084
Cs 10.6208 0.0000 6.8088
Te 2.3143 2.3356 10.3309
Te 3.6318 0.0000 0.3863
Te 8.2759 0.0000 10.3309
Te 9.5934 2.3356 0.3863
Cl 1.2981 2.3356 6.6970
Cl 4.6481 0.0000 4.0202
Cl 7.2596 0.0000 6.6970
Cl 10.6096 2.3356 4.0202
```

Output
The theoretical density comes out at 3.29 Mg/m³. The distance to the lowest polymorph of the same formula is 60 meV/atom. The total magnetization comes out at 0.00 μB/cell. The value obtained for the total energy is -3.0620 eV/atom.



Below is a relaxed structure of Cs2Te2Cl, with properties calculated at the PBE-GGA level.

The structure in extended XYZ format:
```
10
Lattice="4.4871 0.0000 0.0000 0.0000 4.4871 0.0000 0.0000 0.0000 20.7210" Properties=species:S:1:pos:R:3 pbc="T T T"
Cs 0.0000 0.0000 1.9894
Cs 0.0000 0.0000 18.7317
Cs 2.2436 2.2436 8.3711
Cs 2.2436 2.2436 12.3499
Te 0.0000 2.2436 5.1803
Te 0.0000 2.2436 15.5408
Te 2.2436 0.0000 5.1803
Te 2.2436 0.0000 15.5408
Cl 0.0000 0.0000 10.3605
Cl 2.2436 2.2436 0.0000
```

Output
The theoretical density comes out at 4.43 Mg/m³. The distance to the lowest polymorph of the same formula is 0 meV/atom. The total magnetization comes out at 0.00 μB/cell. The value obtained for the total energy is -3.1101 eV/atom.